Material: TbPmCuBi
Method: DFT, PBE-GGA
State: optimized geometry

Results
The calculation puts the electronic total energy at -0.3447 Ry/atom. Its symmetry is F-43m (216). For the total moment, the calculation gives 0.00 μB/atom.

Cell lengths 5.2821, 5.2821, 5.2821 Å; angles 60.00, 60.00, 60.00 degrees
With the nearest neighbours (Å) after each atom.
Positions (direct):
Tb: 0.0000 0.0000 0.0000  4 Bi 3.23, 4 Cu 3.23
Pm: 0.5000 0.5000 0.5000  4 Bi 3.23, 4 Cu 3.23
Cu: 0.2500 0.2500 0.2500  4 Pm 3.23, 4 Tb 3.23
Bi: 0.7500 0.7500 0.7500  4 Pm 3.23, 4 Tb 3.23

***

Material: PmTmCuBi
Method: DFT, PBE-GGA
State: optimized geometry

Results
The calculation puts the electronic total energy at -0.3388 Ry/atom. Its symmetry is F-43m (216). For the total moment, the calculation gives 0.00 μB/atom.

Cell lengths 5.2421, 5.2421, 5.2421 Å; angles 60.00, 60.00, 60.00 degrees
With the nearest neighbours (Å) after each atom.
Positions (direct):
Pm: 0.0000 0.0000 0.0000  4 Bi 3.21, 4 Cu 3.21
Tm: 0.5000 0.5000 0.5000  4 Bi 3.21, 4 Cu 3.21
Cu: 0.2500 0.2500 0.2500  4 Tm 3.21, 4 Pm 3.21
Bi: 0.7500 0.7500 0.7500  4 Pm 3.21, 4 Tm 3.21

***

Material: PmYCuBi
Method: DFT, PBE-GGA
State: optimized geometry

Results
The calculation puts the electronic total energy at -0.3790 Ry/atom. Its symmetry is F-43m (216). For the total moment, the calculation gives 0.00 μB/atom.

Cell lengths 5.2784, 5.2784, 5.2784 Å; angles 60.00, 60.00, 60.00 degrees
With the nearest neighbours (Å) after each atom.
Positions (direct):
Pm: 0.0000 0.0000 0.0000  4 Bi 3.23, 4 Cu 3.23
Y: 0.5000 0.5000 0.5000  4 Cu 3.23, 4 Bi 3.23
Cu: 0.2500 0.2500 0.2500  4 Y 3.23, 4 Pm 3.23
Bi: 0.7500 0.7500 0.7500  4 Y 3.23, 4 Pm 3.23

***

Material: PmZnCuBi
Method: DFT, PBE-GGA
State: optimized geometry

Results
The calculation puts the electronic total energy at -0.2702 Ry/atom. Its symmetry is F-43m (216). For the total moment, the calculation gives 0.00 μB/atom.

Cell lengths 5.0327, 5.0327, 5.0327 Å; angles 60.00, 60.00, 60.00 degrees
With the nearest neighbours (Å) after each atom.
Positions (direct):
Pm: 0.0000 0.0000 0.0000  4 Cu 3.08, 4 Zn 3.08
Zn: 0.2500 0.2500 0.2500  4 Bi 3.08, 4 Pm 3.08
Cu: 0.7500 0.7500 0.7500  4 Pm 3.08, 4 Bi 3.08
Bi: 0.5000 0.5000 0.5000  4 Cu 3.08, 4 Zn 3.08

***

Material: PrCuBi2
Method: DFT, PBE-GGA
State: optimized geometry

Results
The calculation puts the electronic total energy at -0.3045 Ry/atom. Its symmetry is R-3m (166). For the total moment, the calculation gives 0.00 μB/atom.

Cell lengths 10.8142, 10.8142, 10.8142 Å; angles 19.09, 19.09, 19.09 degrees
With the nearest neighbours (Å) after each atom.
Positions (direct):
Pr: 0.0000 0.0000 0.0000  6 Bi 3.43, 6 Pr 3.59
Cu: 0.5000 0.5000 0.5000  2 Bi 2.57
Bi: 0.4193 0.4193 0.4193  1 Cu 2.57
Bi: 0.5807 0.5807 0.5807  1 Cu 2.57

***

Material: Pr4CuBi
Method: DFT, PBE-GGA
State: optimized geometry

Results
The calculation puts the electronic total energy at -0.3531 Ry/atom. Its symmetry is C2/c (15). For the total moment, the calculation gives 0.00 μB/atom.

Cell lengths 8.4069, 8.4069, 6.1430 Å; angles 101.20, 101.20, 115.18 degrees
With the nearest neighbours (Å) after each atom.
Positions (direct):
Pr: 0.0754 0.7115 0.9387  2 Cu 3.13-3.14, 2 Bi 3.37-3.43, 1 Pr 3.51
Pr: 0.2086 0.3811 0.6416  2 Cu 3.12-3.20, 1 Bi 3.36, 1 Pr 3.45
Pr: 0.2885 0.9246 0.5613  2 Cu 3.13-3.14, 2 Bi 3.37-3.43, 1 Pr 3.51
Pr: 0.3811 0.2086 0.1416  2 Cu 3.12-3.20, 1 Bi 3.36, 1 Pr 3.45
Pr: 0.6189 0.7914 0.8584  2 Cu 3.12-3.20, 1 Bi 3.36, 1 Pr 3.45
Pr: 0.7115 0.0754 0.4387  2 Cu 3.13-3.14, 2 Bi 3.37-3.43, 1 Pr 3.51
Pr: 0.7914 0.6189 0.3584  2 Cu 3.12-3.20, 1 Bi 3.36, 1 Pr 3.45
Pr: 0.9246 0.2885 0.0613  2 Cu 3.13-3.14, 2 Bi 3.37-3.43, 1 Pr 3.51
Cu: 0.0010 0.9990 0.2500  2 Cu 3.07, 8 Pr 3.12-3.20
Cu: 0.9990 0.0010 0.7500  2 Cu 3.07, 8 Pr 3.12-3.20
Bi: 0.3826 0.6174 0.2500  10 Pr 3.36-3.55
Bi: 0.6174 0.3826 0.7500  10 Pr 3.36-3.55

***

Material: Pr5CuBi3
Method: DFT, PBE-GGA
State: optimized geometry

Results
The calculation puts the electronic total energy at -0.3758 Ry/atom. Its symmetry is P6_3/mcm (193). For the total moment, the calculation gives 0.05 μB/atom.

Cell lengths 9.7159, 9.7159, 6.6699 Å; angles 90.00, 90.00, 120.00 degrees
With the nearest neighbours (Å) after each atom.
Positions (direct):
Pr: 0.0000 0.2582 0.2500  2 Cu 3.01, 2 Bi 3.29
Pr: 0.0000 0.7418 0.7500  2 Cu 3.01, 2 Bi 3.29
Pr: 0.2582 0.0000 0.2500  2 Cu 3.01, 2 Bi 3.29
Pr: 0.2582 0.2582 0.7500  2 Cu 3.01, 2 Bi 3.29
Pr: 0.3333 0.6667 0.0000  2 Pr 3.33, 6 Bi 3.45
Pr: 0.3333 0.6667 0.5000  2 Pr 3.33, 6 Bi 3.45
Pr: 0.6667 0.3333 0.0000  2 Pr 3.33, 6 Bi 3.45
Pr: 0.6667 0.3333 0.5000  2 Pr 3.33, 6 Bi 3.45
Pr: 0.7418 0.0000 0.7500  2 Cu 3.01, 2 Bi 3.29
Pr: 0.7418 0.7418 0.2500  2 Cu 3.01, 2 Bi 3.29
Cu: 0.0000 0.0000 0.0000  6 Pr 3.01, 2 Cu 3.33
Cu: 0.0000 0.0000 0.5000  6 Pr 3.01, 2 Cu 3.33
Bi: 0.0000 0.3838 0.7500  9 Pr 3.29-3.55
Bi: 0.0000 0.6162 0.2500  9 Pr 3.29-3.55
Bi: 0.3838 0.0000 0.7500  9 Pr 3.29-3.55
Bi: 0.3838 0.3838 0.2500  9 Pr 3.29-3.55
Bi: 0.6162 0.0000 0.2500  9 Pr 3.29-3.55
Bi: 0.6162 0.6162 0.7500  9 Pr 3.29-3.55

***

Material: PrCuBi2
Method: DFT, PBE-GGA
State: optimized geometry

Results
The calculation puts the electronic total energy at -0.3267 Ry/atom. Its symmetry is P4/mmm (123). For the total moment, the calculation gives 0.00 μB/atom.

Cell lengths 4.8705, 4.8705, 4.5106 Å; angles 90.00, 90.00, 90.00 degrees
With the nearest neighbours (Å) after each atom.
Positions (direct):
Pr: 0.0000 0.0000 0.0000  8 Bi 3.32, 4 Cu 3.44
Cu: 0.5000 0.5000 0.0000  8 Bi 3.32, 4 Pr 3.44
Bi: 0.0000 0.5000 0.5000  4 Pr 3.32, 4 Cu 3.32, 4 Bi 3.44
Bi: 0.5000 0.0000 0.5000  4 Pr 3.32, 4 Cu 3.32, 4 Bi 3.44